Entry 1:
{"formula": "Rb2Mg2W3O12", "functional": "SCAN", "state": "PBEsol geometry", "raw_formation_energy_ev_per_atom": -2.50, "crystal_system": "cubic", "lattice_angstrom": [[-7.067, -0.814, 8.210], [-0.680, -10.715, -1.648], [8.222, -1.586, 6.920]], "species": ["Rb", "O", "O", "O", "Mg", "O", "O", "Mg", "Mg", "W", "W", "O", "W", "O", "O", "O", "O", "O", "Rb", "O", "O", "O", "Mg", "O", "W", "W", "Rb", "Rb", "Mg", "Rb", "W", "O", "O", "O", "W", "O", "O", "O", "O", "W", "W", "Rb", "O", "W", "O", "O", "O", "O", "O", "O", "Rb", "O", "O", "O", "W", "O", "O", "O", "O", "O", "Mg", "O", "O", "Mg", "Mg", "Rb", "O", "O", "O", "O", "O", "O", "W", "O", "O", "O"], "frac_coords": [[0.073, 0.427, 0.573], [0.793, 0.270, 0.923], [0.726, 0.972, 0.205], [0.274, 0.472, 0.295], [0.135, 0.135, 0.135], [0.433, 0.854, 0.998], [0.480, 0.458, 0.804], [0.088, 0.588, 0.912], [0.635, 0.365, 0.865], [0.371, 0.551, 0.722], [0.051, 0.778, 0.629], [0.730, 0.423, 0.707], [0.449, 0.222, 0.129], [0.226, 0.528, 0.795], [0.923, 0.793, 0.270], [0.795, 0.226, 0.528], [0.542, 0.304, 0.020], [0.293, 0.230, 0.077], [0.927, 0.927, 0.927], [0.002, 0.933, 0.646], [0.958, 0.696, 0.520], [0.020, 0.542, 0.304], [0.412, 0.412, 0.412], [0.423, 0.707, 0.730], [0.278, 0.871, 0.949], [0.222, 0.129, 0.449], [0.301, 0.199, 0.801], [0.699, 0.699, 0.699], [0.912, 0.088, 0.588], [0.573, 0.073, 0.427], [0.949, 0.278, 0.871], [0.270, 0.923, 0.793], [0.528, 0.795, 0.226], [0.646, 0.002, 0.933], [0.778, 0.629, 0.051], [0.520, 0.958, 0.696], [0.498, 0.067, 0.146], [0.707, 0.730, 0.423], [0.696, 0.520, 0.958], [0.722, 0.371, 0.551], [0.129, 0.449, 0.222], [0.427, 0.573, 0.073], [0.458, 0.804, 0.480], [0.871, 0.949, 0.278], [0.854, 0.998, 0.433], [0.567, 0.354, 0.502], [0.577, 0.207, 0.770], [0.705, 0.774, 0.028], [0.077, 0.293, 0.230], [0.207, 0.770, 0.577], [0.199, 0.801, 0.301], [0.980, 0.042, 0.196], [0.972, 0.205, 0.726], [0.146, 0.498, 0.067], [0.629, 0.051, 0.778], [0.295, 0.274, 0.472], [0.230, 0.077, 0.293], [0.472, 0.295, 0.274], [0.354, 0.502, 0.567], [0.770, 0.577, 0.207], [0.588, 0.912, 0.088], [0.998, 0.433, 0.854], [0.028, 0.705, 0.774], [0.365, 0.865, 0.635], [0.865, 0.635, 0.365], [0.801, 0.301, 0.199], [0.804, 0.480, 0.458], [0.774, 0.028, 0.705], [0.067, 0.146, 0.498], [0.502, 0.567, 0.354], [0.042, 0.196, 0.980], [0.205, 0.726, 0.972], [0.551, 0.722, 0.371], [0.196, 0.980, 0.042], [0.304, 0.020, 0.542], [0.933, 0.646, 0.002]]}



Entry 2:
{"formula": "CdBr3", "functional": "SCAN", "state": "PBEsol geometry", "raw_formation_energy_ev_per_atom": -0.47, "crystal_system": "orthorhombic", "lattice_angstrom": [[-0.989, 2.997, -2.514], [-4.690, 0.712, 2.695], [4.527, 2.846, 1.611]], "species": ["Cd", "Br", "Br", "Br"], "frac_coords": [[0.500, 0.000, 0.500], [0.500, 0.500, 0.500], [0.000, 0.207, 0.915], [0.000, 0.793, 0.085]]}



Entry 3:
{"formula": "YZn3C", "functional": "SCAN", "state": "PBEsol geometry", "formation_enthalpy_0k_ev_per_fu": 11.01, "crystal_system": "cubic", "lattice_angstrom": [[5.564, 0.000, 0.000], [0.000, 5.564, 0.000], [0.000, 0.000, 5.564]], "species": ["C", "Zn", "Y", "Zn", "Zn"], "frac_coords": [[0.500, 0.500, 0.500], [0.000, 0.500, 0.000], [0.000, 0.000, 0.000], [0.000, 0.000, 0.500], [0.500, 0.000, 0.000]]}



Entry 4:
{"formula": "Tc2HgBr", "functional": "SCAN", "state": "PBEsol geometry", "raw_formation_energy_ev_per_atom": 0.65, "relative_energy_mev_per_atom": 0, "crystal_system": "orthorhombic", "lattice_angstrom": [[-0.737, -0.871, 3.054], [4.031, -2.279, 0.323], [0.766, 6.109, 0.187]], "species": ["Tc", "Br", "Tc", "Hg"], "frac_coords": [[0.087, 0.087, 0.173], [0.452, 0.452, 0.904], [0.732, 0.232, 0.463], [0.230, 0.730, 0.460]]}



Entry 5:
{"formula": "NaCa3Os", "functional": "SCAN", "state": "PBEsol geometry", "formation_enthalpy_0k_ev_per_fu": 7.58, "crystal_system": "cubic", "lattice_angstrom": [[5.327, 0.000, 0.000], [0.000, 5.327, 0.000], [0.000, 0.000, 5.327]], "species": ["Na", "Ca", "Ca", "Os", "Ca"], "frac_coords": [[0.000, 0.000, 0.000], [0.500, 0.000, 0.000], [0.000, 0.500, 0.000], [0.500, 0.500, 0.500], [0.000, 0.000, 0.500]]}



Entry 6:
{"formula": "Sr3HfZn", "functional": "SCAN", "state": "PBEsol geometry", "formation_enthalpy_0k_ev_per_fu": 3.52, "crystal_system": "cubic", "lattice_angstrom": [[-4.345, 1.502, -3.611], [2.464, -3.140, -4.271], [-3.037, -4.696, 1.700]], "species": ["Zn", "Sr", "Sr", "Hf", "Sr"], "frac_coords": [[0.000, 0.000, 0.000], [0.500, 0.000, 0.000], [0.000, 0.500, 0.000], [0.500, 0.500, 0.500], [0.000, 0.000, 0.500]]}



Entry 7:
{"formula": "HfNbPS2", "functional": "SCAN", "state": "PBEsol geometry", "raw_formation_energy_ev_per_atom": -0.01, "relative_energy_mev_per_atom": 0, "crystal_system": "tetragonal", "lattice_angstrom": [[4.741, 0.000, 0.000], [0.000, 4.741, 0.000], [0.000, 0.000, 4.933]], "species": ["S", "P", "Hf", "S", "Nb"], "frac_coords": [[0.500, 0.000, 0.000], [0.000, 0.000, 0.500], [0.000, 0.000, 0.000], [0.000, 0.500, 0.000], [0.500, 0.500, 0.500]]}



Entry 8:
{"formula": "Pb2CSF", "functional": "SCAN", "state": "PBEsol geometry", "raw_formation_energy_ev_per_atom": 0.95, "crystal_system": "tetragonal", "lattice_angstrom": [[4.256, 0.000, 0.000], [0.000, 4.977, 0.000], [0.000, 0.000, 4.977]], "species": ["Pb", "C", "F", "Pb", "S"], "frac_coords": [[0.000, 0.500, 0.000], [0.500, 0.500, 0.500], [0.000, 0.000, 0.000], [0.000, 0.000, 0.500], [0.500, 0.000, 0.000]]}



Entry 9:
{"formula": "BaHfP2C", "functional": "SCAN", "state": "PBEsol geometry", "formation_enthalpy_0k_ev_per_fu": 5.16, "crystal_system": "tetragonal", "lattice_angstrom": [[-2.253, 0.553, -4.224], [-4.228, -0.872, 2.141], [-0.712, 6.461, 1.226]], "species": ["Hf", "P", "C", "Ba", "P"], "frac_coords": [[0.000, 0.000, 0.000], [0.500, 0.000, 0.000], [0.500, 0.500, 0.500], [0.000, 0.000, 0.500], [0.000, 0.500, 0.000]]}



Entry 10:
{"formula": "TcOsPb2", "functional": "SCAN", "state": "PBEsol geometry", "relative_energy_mev_per_atom": 0, "formation_enthalpy_0k_ev_per_fu": 3.47, "crystal_system": "orthorhombic", "lattice_angstrom": [[3.068, 0.000, 0.000], [0.000, 4.534, 0.000], [-1.534, -2.267, 5.742]], "species": ["Tc", "Pb", "Os", "Pb"], "frac_coords": [[0.516, 0.516, 0.033], [0.783, 0.283, 0.565], [0.196, 0.696, 0.393], [0.005, 0.005, 0.009]]}



Entry 11:
{"formula": "Y2CrBr", "functional": "SCAN", "state": "PBEsol geometry", "raw_formation_energy_ev_per_atom": -0.48, "relative_energy_mev_per_atom": 30, "crystal_system": "trigonal", "lattice_angstrom": [[3.704, 0.000, 0.000], [1.852, 3.208, 0.000], [1.852, 1.069, 8.234]], "species": ["Y", "Y", "Cr", "Br"], "frac_coords": [[0.756, 0.756, 0.732], [0.244, 0.244, 0.268], [0.500, 0.500, 0.500], [0.000, 0.000, 0.000]]}



Entry 12:
{"formula": "Be2CoSi", "functional": "SCAN", "state": "PBEsol geometry", "raw_formation_energy_ev_per_atom": 0.48, "crystal_system": "tetragonal", "lattice_angstrom": [[-2.963, -0.219, 3.238], [-0.433, -4.350, 2.292], [1.609, 1.117, 4.530]], "species": ["Be", "Be", "Be", "Be", "Si", "Co", "Si", "Co"], "frac_coords": [[0.099, 0.026, 0.526], [0.875, 0.474, 0.026], [0.651, 0.974, 0.474], [0.375, 0.526, 0.974], [0.250, 0.500, 0.500], [0.750, 0.500, 0.500], [0.500, 0.000, 0.000], [0.000, 0.000, 0.000]]}



Entry 13:
{"formula": "Y3In2Ga3O12", "functional": "SCAN", "state": "PBEsol geometry", "raw_formation_energy_ev_per_atom": -2.75, "crystal_system": "cubic", "lattice_angstrom": [[-3.639, 8.667, -5.466], [2.599, -7.885, -7.022], [-7.760, -3.557, 6.735]], "species": ["O", "O", "Y", "O", "O", "O", "Y", "O", "O", "O", "O", "O", "In", "In", "Ga", "O", "In", "In", "O", "Ga", "O", "O", "O", "O", "O", "O", "O", "O", "O", "O", "O", "Ga", "O", "O", "O", "O", "Ga", "Y", "Ga", "Y", "Y", "Ga", "O", "O", "O", "O", "O", "O", "O", "Y", "Y", "O", "O", "Ga", "In", "In", "O", "Y", "Ga", "O", "Ga", "O", "Y", "Ga", "In", "O", "O", "Ga", "O", "O", "O", "Ga", "O", "Y", "O", "O", "Y", "Y", "O", "In"], "frac_coords": [[0.089, 0.404, 0.370], [0.034, 0.130, 0.719], [0.875, 0.250, 0.125], [0.966, 0.870, 0.281], [0.370, 0.904, 0.089], [0.589, 0.370, 0.404], [0.625, 0.750, 0.375], [0.815, 0.411, 0.281], [0.685, 0.966, 0.596], [0.904, 0.315, 0.534], [0.719, 0.089, 0.185], [0.596, 0.130, 0.411], [0.000, 0.000, 0.000], [0.500, 0.000, 0.500], [0.750, 0.125, 0.375], [0.185, 0.589, 0.719], [0.000, 0.000, 0.500], [0.000, 0.500, 0.000], [0.370, 0.466, 0.781], [0.375, 0.750, 0.125], [0.404, 0.534, 0.315], [0.315, 0.034, 0.404], [0.096, 0.411, 0.130], [0.219, 0.185, 0.089], [0.685, 0.719, 0.589], [0.096, 0.685, 0.466], [0.719, 0.630, 0.034], [0.185, 0.596, 0.966], [0.534, 0.815, 0.904], [0.870, 0.089, 0.904], [0.404, 0.870, 0.589], [0.875, 0.125, 0.750], [0.589, 0.219, 0.685], [0.966, 0.096, 0.185], [0.034, 0.904, 0.815], [0.630, 0.534, 0.219], [0.125, 0.875, 0.250], [0.125, 0.375, 0.750], [0.625, 0.250, 0.875], [0.750, 0.375, 0.625], [0.125, 0.750, 0.875], [0.750, 0.625, 0.875], [0.870, 0.781, 0.466], [0.219, 0.034, 0.630], [0.781, 0.815, 0.911], [0.630, 0.096, 0.911], [0.911, 0.596, 0.630], [0.281, 0.911, 0.815], [0.089, 0.685, 0.219], [0.250, 0.125, 0.875], [0.875, 0.625, 0.250], [0.411, 0.781, 0.315], [0.130, 0.911, 0.096], [0.375, 0.625, 0.750], [0.500, 0.000, 0.000], [0.500, 0.500, 0.000], [0.466, 0.185, 0.096], [0.250, 0.625, 0.375], [0.125, 0.250, 0.375], [0.534, 0.719, 0.130], [0.250, 0.375, 0.125], [0.411, 0.630, 0.596], [0.375, 0.250, 0.625], [0.625, 0.375, 0.250], [0.500, 0.500, 0.500], [0.596, 0.466, 0.685], [0.315, 0.281, 0.411], [0.875, 0.750, 0.625], [0.281, 0.370, 0.966], [0.466, 0.281, 0.870], [0.781, 0.966, 0.370], [0.250, 0.875, 0.625], [0.904, 0.589, 0.870], [0.750, 0.875, 0.125], [0.911, 0.315, 0.781], [0.815, 0.404, 0.034], [0.375, 0.125, 0.250], [0.625, 0.875, 0.750], [0.130, 0.219, 0.534], [0.000, 0.500, 0.500]]}



Entry 14:
{"formula": "Rb2GaAu", "functional": "SCAN", "state": "PBEsol geometry", "formation_enthalpy_0k_ev_per_fu": -0.95, "crystal_system": "tetragonal", "lattice_angstrom": [[-0.840, 0.384, -4.727], [-1.735, -8.768, -2.857], [-9.253, 1.397, -0.696]], "species": ["Rb", "Rb", "Rb", "Au", "Rb", "Au", "Ga", "Ga"], "frac_coords": [[0.941, 0.184, 0.684], [0.875, 0.316, 0.184], [0.809, 0.816, 0.316], [0.000, 0.000, 0.000], [0.375, 0.684, 0.816], [0.750, 0.500, 0.500], [0.500, 0.000, 0.000], [0.250, 0.500, 0.500]]}



Entry 15:
{"formula": "NbMoO4", "functional": "SCAN", "state": "PBEsol geometry", "raw_formation_energy_ev_per_atom": -2.28, "crystal_system": "orthorhombic", "lattice_angstrom": [[-2.015, 1.614, -1.067], [-3.255, -3.668, 0.598], [-1.071, 1.658, 4.529]], "species": ["Mo", "Nb", "O", "O", "O", "O"], "frac_coords": [[0.000, 0.000, 0.000], [0.500, 0.500, 0.500], [0.500, 0.209, 0.209], [0.000, 0.720, 0.280], [0.000, 0.280, 0.720], [0.500, 0.791, 0.791]]}



Entry 16:
{"formula": "Li3Ag", "functional": "SCAN", "state": "PBEsol geometry", "relative_energy_mev_per_atom": 54, "formation_enthalpy_0k_ev_per_fu": -0.44, "crystal_system": "tetragonal", "lattice_angstrom": [[-0.581, -1.240, 2.763], [2.613, -1.627, -0.181], [3.590, 5.412, 3.183]], "species": ["Li", "Li", "Li", "Ag"], "frac_coords": [[0.500, 0.500, 0.781], [0.000, 0.000, 0.500], [0.500, 0.500, 0.219], [0.000, 0.000, 0.000]]}



Entry 17:
{"formula": "Li2PdAuBr", "functional": "SCAN", "state": "PBEsol geometry", "raw_formation_energy_ev_per_atom": -0.09, "crystal_system": "tetragonal", "lattice_angstrom": [[-1.113, 4.465, 0.222], [-4.107, -0.885, -2.784], [-2.655, -0.871, 4.194]], "species": ["Li", "Br", "Au", "Pd", "Li"], "frac_coords": [[0.000, 0.500, 0.000], [0.500, 0.000, 0.000], [0.500, 0.500, 0.500], [0.000, 0.000, 0.000], [0.000, 0.000, 0.500]]}



Entry 18:
{"formula": "SiNi2Br", "functional": "SCAN", "state": "PBEsol geometry", "raw_formation_energy_ev_per_atom": 0.24, "crystal_system": "tetragonal", "lattice_angstrom": [[-2.274, -1.576, -1.491], [0.318, -2.379, 2.029], [-4.113, 2.525, 3.604]], "species": ["Br", "Ni", "Si", "Ni"], "frac_coords": [[0.500, 0.500, 0.828], [0.000, 0.000, 0.022], [0.000, 0.000, 0.392], [0.500, 0.500, 0.258]]}



Entry 19:
{"formula": "CrHRh3", "functional": "SCAN", "state": "PBEsol geometry", "crystal_system": "cubic", "lattice_angstrom": [[3.803, 0.000, 0.000], [0.000, 3.803, 0.000], [0.000, 0.000, 3.803]], "species": ["Cr", "H", "Rh", "Rh", "Rh"], "frac_coords": [[0.500, 0.500, 0.500], [0.000, 0.000, 0.000], [0.500, 0.000, 0.000], [0.000, 0.500, 0.000], [0.000, 0.000, 0.500]]}



Entry 20:
{"formula": "NbPt3S", "functional": "SCAN", "state": "PBEsol geometry", "raw_formation_energy_ev_per_atom": 0.38, "crystal_system": "cubic", "lattice_angstrom": [[-2.891, -2.706, -2.004], [3.320, -2.732, -1.101], [-0.562, -2.216, 3.804]], "species": ["Pt", "S", "Pt", "Nb", "Pt"], "frac_coords": [[0.000, 0.500, 0.000], [0.000, 0.000, 0.000], [0.000, 0.000, 0.500], [0.500, 0.500, 0.500], [0.500, 0.000, 0.000]]}



| no. | total moment (μB per formula unit) | E (eV/atom) | Fermi-level density of states (states/eV per cell) |
| --- | --- | --- | --- |
| 1 | 0.00 | -20.15 | 0.00 |
| 2 | 0.00 | -22.67 | 0.81 |
| 3 | 2.72 | -13.50 | 3.43 |
| 4 | 0.01 | -38.79 | 3.47 |
| 5 | 1.06 | -19.50 | 4.27 |
| 6 | 3.24 | -27.90 | 5.82 |
| 7 | 2.08 | -25.11 | 2.94 |
| 8 | 1.88 | -34.01 | 1.24 |
| 9 | 2.61 | -25.59 | 1.85 |
| 10 | 0.00 | -63.76 | 2.66 |
| 11 | 3.34 | -23.86 | 2.06 |
| 12 | 0.00 | -8.53 | 5.83 |
| 13 | 0.00 | -16.46 | 0.00 |
| 14 | 0.00 | -31.98 | 4.50 |
| 15 | 1.16 | -17.77 | 2.01 |
| 16 | 0.00 | -9.74 | 1.30 |
| 17 | 0.00 | -25.32 | 0.30 |
| 18 | 0.85 | -15.21 | 2.27 |
| 19 | 1.99 | -24.78 | 3.20 |
| 20 | 2.37 | -50.28 | 2.53 |